VASP calculation (PBE-GGA) on a relaxed structure of PrEr. Values from VASP.

## Properties
The offset from the most stable computed form is 4 meV/atom. For the formation energy, the calculation gives 30 meV/atom. As for the crystal system: tetragonal.

Structure (Quantum ESPRESSO input):
```
&SYSTEM
  ibrav = 0, nat = 4, ntyp = 2
/
ATOMIC_SPECIES
Pr 140.91 Pr.upf
Er 167.26 Er.upf
CELL_PARAMETERS angstrom
-0.058 2.289 -2.793
2.438 -2.036 -1.720
-7.549 -5.415 -4.281
ATOMIC_POSITIONS crystal
Pr 0.250 0.250 0.631
Pr 0.750 0.750 0.369
Er 0.250 0.250 0.118
Er 0.750 0.750 0.882
```

=====

VASP calculation (PBE-GGA) on a relaxed structure of K12Rb3Cl5. Values from VASP.

## Properties
The uncorrected formation energy is -16.4 eV per formula unit. As for the crystal system: cubic.

Structure (Quantum ESPRESSO input):
```
&SYSTEM
  ibrav = 0, nat = 80, ntyp = 3
/
ATOMIC_SPECIES
Rb 85.47 Rb.upf
Cl 35.45 Cl.upf
K 39.10 K.upf
CELL_PARAMETERS angstrom
-12.392 -9.762 10.014
14.628 4.395 10.764
-8.028 15.655 -6.295
ATOMIC_POSITIONS crystal
Rb 0.750 0.375 0.125
Rb 0.875 0.750 0.125
Rb 0.375 0.750 0.625
Rb 0.250 0.125 0.375
Rb 0.875 0.125 0.250
Rb 0.375 0.625 0.250
Rb 0.625 0.375 0.750
Rb 0.125 0.875 0.750
Rb 0.750 0.875 0.625
Rb 0.625 0.250 0.375
Rb 0.125 0.250 0.875
Rb 0.250 0.625 0.875
Cl 0.125 0.375 0.250
Cl 0.000 0.500 0.000
Cl 0.000 0.000 0.000
Cl 0.375 0.250 0.125
Cl 0.500 0.000 0.500
Cl 0.500 0.500 0.000
Cl 0.125 0.750 0.375
Cl 0.750 0.125 0.875
Cl 0.750 0.625 0.375
Cl 0.375 0.125 0.750
Cl 0.625 0.875 0.250
Cl 0.500 0.500 0.500
Cl 0.500 0.000 0.000
Cl 0.000 0.000 0.500
Cl 0.250 0.375 0.625
Cl 0.250 0.875 0.125
Cl 0.000 0.500 0.500
Cl 0.875 0.250 0.625
Cl 0.625 0.750 0.875
Cl 0.875 0.625 0.750
K 0.681 0.093 0.994
K 0.313 0.494 0.401
K 0.006 0.407 0.319
K 0.494 0.181 0.093
K 0.588 0.681 0.687
K 0.006 0.599 0.187
K 0.313 0.819 0.412
K 0.099 0.912 0.093
K 0.599 0.006 0.687
K 0.681 0.588 0.187
K 0.819 0.506 0.407
K 0.813 0.901 0.994
K 0.093 0.681 0.494
K 0.407 0.401 0.088
K 0.088 0.901 0.407
K 0.412 0.093 0.599
K 0.088 0.187 0.181
K 0.506 0.687 0.099
K 0.813 0.912 0.319
K 0.093 0.412 0.099
K 0.407 0.006 0.819
K 0.599 0.593 0.412
K 0.901 0.813 0.494
K 0.819 0.313 0.912
K 0.401 0.407 0.588
K 0.099 0.187 0.506
K 0.181 0.687 0.088
K 0.187 0.088 0.681
K 0.593 0.994 0.181
K 0.907 0.588 0.901
K 0.494 0.313 0.901
K 0.588 0.907 0.401
K 0.912 0.813 0.819
K 0.912 0.099 0.593
K 0.907 0.319 0.506
K 0.187 0.099 0.006
K 0.593 0.599 0.912
K 0.401 0.994 0.313
K 0.319 0.412 0.813
K 0.181 0.494 0.593
K 0.901 0.088 0.907
K 0.687 0.181 0.588
K 0.506 0.819 0.907
K 0.994 0.401 0.813
K 0.412 0.319 0.313
K 0.994 0.593 0.681
K 0.687 0.506 0.599
K 0.319 0.907 0.006
```

=====

VASP calculation (PBE-GGA) on a relaxed structure of Ce4GeBr5. Values from VASP.

## Properties
The uncorrected formation energy is -14.2 eV per formula unit. As for the crystal system: monoclinic.

Structure (Quantum ESPRESSO input):
```
&SYSTEM
  ibrav = 0, nat = 10, ntyp = 3
/
ATOMIC_SPECIES
Ce 140.12 Ce.upf
Ge 72.64 Ge.upf
Br 79.90 Br.upf
CELL_PARAMETERS angstrom
-3.823 0.621 -1.486
-3.386 -2.969 7.471
2.660 8.610 2.547
ATOMIC_POSITIONS crystal
Ce 0.337 0.933 0.674
Ce 0.998 0.766 0.996
Ce 0.663 0.067 0.326
Ce 0.002 0.234 0.004
Ge 0.500 0.000 0.000
Br 0.831 0.678 0.662
Br 0.833 0.189 0.666
Br 0.167 0.811 0.334
Br 0.500 0.500 0.000
Br 0.169 0.322 0.338
```

=====

VASP calculation (PBE-GGA) on a relaxed structure of MnCd12Ag6. Values from VASP.

## Properties
For the formation energy, the calculation gives 83 meV/atom. As for the crystal system: trigonal.

Structure (Quantum ESPRESSO input):
```
&SYSTEM
  ibrav = 0, nat = 19, ntyp = 3
/
ATOMIC_SPECIES
Mn 54.94 Mn.upf
Cd 112.41 Cd.upf
Ag 107.87 Ag.upf
CELL_PARAMETERS angstrom
7.493 -0.172 0.630
0.565 7.474 0.630
-0.190 -0.172 7.517
ATOMIC_POSITIONS crystal
Mn 0.000 0.000 0.000
Cd 0.456 0.205 0.539
Cd 0.205 0.539 0.456
Cd 0.539 0.456 0.205
Cd 0.544 0.795 0.461
Cd 0.795 0.461 0.544
Cd 0.461 0.544 0.795
Cd 0.986 0.843 0.655
Cd 0.345 0.014 0.157
Cd 0.157 0.345 0.014
Cd 0.014 0.157 0.345
Cd 0.655 0.986 0.843
Cd 0.843 0.655 0.986
Ag 0.084 0.226 0.686
Ag 0.774 0.314 0.916
Ag 0.314 0.916 0.774
Ag 0.916 0.774 0.314
Ag 0.226 0.686 0.084
Ag 0.686 0.084 0.226
```

=====

no.,size of the total moment (μB per atom)
1,0.0006
2,0.0000
3,0.4990
4,0.1909